[1]
TaGaCuAg: relaxed, PBE.

Summary:
- ΔE to the lowest computed polymorph: 0 meV/atom
- Energy: -5.08 eV/atom
- Space-group type: F-43m

Lattice parameters (Å, degrees): 4.485 4.485 4.485 60.00 60.00 60.00
Atoms (fractional coordinates):
Ag 0.500 0.500 0.500
Cu 0.750 0.750 0.750
Ga 0.000 0.000 0.000
Ta 0.250 0.250 0.250


[2]
SmBiO3: relaxed, PBE.

Summary:
- Energy: -7.04 eV/atom
- Space-group type: C2/m

Lattice parameters (Å, degrees): 7.101 7.101 6.777 117.85 117.85 30.69
Atoms (fractional coordinates):
Bi 0.877 0.877 0.038
Bi 0.123 0.123 0.962
O 0.063 0.063 0.220
O 0.426 0.426 0.256
O 0.758 0.758 0.319
O 0.242 0.242 0.681
O 0.574 0.574 0.744
O 0.937 0.937 0.780
Sm 0.631 0.631 0.466
Sm 0.369 0.369 0.534


[3]
KGdB4: relaxed, PBE.

Summary:
- ΔE to the lowest computed polymorph: 0 meV/atom
- Energy: -5.35 eV/atom
- Space-group type: P6/mmm

Lattice parameters (Å, degrees): 3.226 3.226 8.890 90.00 90.00 120.00
Atoms (fractional coordinates):
B 0.667 0.333 0.281
B 0.333 0.667 0.281
B 0.667 0.333 0.719
B 0.333 0.667 0.719
Gd 0.000 0.000 0.500
K 0.000 0.000 0.000


[4]
LaNdI4: relaxed, PBE.

Summary:
- ΔE to the lowest computed polymorph: 106 meV/atom
- Energy: -3.89 eV/atom
- Space-group type: C2/c

Lattice parameters (Å, degrees): 7.725 8.101 8.918 112.53 111.02 99.44
Atoms (fractional coordinates):
I 0.129 0.873 0.119
I 0.490 0.246 0.119
I 0.151 0.558 0.369
I 0.718 0.811 0.369
I 0.282 0.189 0.631
I 0.849 0.442 0.631
I 0.510 0.754 0.881
I 0.871 0.127 0.881
La 0.243 0.493 0.985
La 0.757 0.507 0.015
Nd 0.883 0.133 0.266
Nd 0.117 0.867 0.734


[5]
ZrO: relaxed, PBE.

Summary:
- Energy: -9.35 eV/atom
- Space-group type: P-62m

Lattice parameters (Å, degrees): 5.303 5.303 3.203 90.00 90.00 120.00
Atoms (fractional coordinates):
O 0.406 0.000 0.000
O 0.000 0.406 0.000
O 0.594 0.594 0.000
Zr 0.000 0.000 0.000
Zr 0.667 0.333 0.500
Zr 0.333 0.667 0.500


[6]
RbTbPd: relaxed, PBE.

Summary:
- Energy: -3.39 eV/atom
- Space-group type: F-43m

Lattice parameters (Å, degrees): 5.147 5.147 5.147 60.00 60.00 60.00
Atoms (fractional coordinates):
Pd 0.000 0.000 0.000
Rb 0.250 0.250 0.250
Tb 0.750 0.750 0.750


What did the sixth record say?
RbTbPd: relaxed, PBE.

Summary:
- Energy: -3.39 eV/atom
- Space-group type: F-43m

Lattice parameters (Å, degrees): 5.147 5.147 5.147 60.00 60.00 60.00
Atoms (fractional coordinates):
Pd 0.000 0.000 0.000
Rb 0.250 0.250 0.250
Tb 0.750 0.750 0.750


Repeat the first record exactly.
TaGaCuAg: relaxed, PBE.

Summary:
- ΔE to the lowest computed polymorph: 0 meV/atom
- Energy: -5.08 eV/atom
- Space-group type: F-43m

Lattice parameters (Å, degrees): 4.485 4.485 4.485 60.00 60.00 60.00
Atoms (fractional coordinates):
Ag 0.500 0.500 0.500
Cu 0.750 0.750 0.750
Ga 0.000 0.000 0.000
Ta 0.250 0.250 0.250